! TiCrBiO6 (PBE+U, optimized geometry); values from VASP
&SYSTEM
  ibrav = 0, nat = 18, ntyp = 4
/
ATOMIC_SPECIES
Ti 47.87 Ti.upf
Cr 52.00 Cr.upf
Bi 208.98 Bi.upf
O 16.00 O.upf
ATOMIC_POSITIONS crystal
Ti 0.000 0.000 0.000
Ti 0.500 0.500 0.500
Cr 0.000 0.000 0.669
Cr 0.500 0.500 0.169
Bi 0.000 0.000 0.336
Bi 0.500 0.500 0.836
O 0.181 0.181 0.840
O 0.198 0.198 0.159
O 0.202 0.202 0.512
O 0.298 0.702 0.012
O 0.302 0.698 0.659
O 0.319 0.681 0.340
O 0.681 0.319 0.340
O 0.698 0.302 0.659
O 0.702 0.298 0.012
O 0.798 0.798 0.512
O 0.802 0.802 0.159
O 0.819 0.819 0.840
CELL_PARAMETERS angstrom
4.766 0.000 0.000
0.000 4.766 0.000
0.000 0.000 9.420
! E_tot = -7.28 eV/atom